The following is a PBEsol calculation of crystalline La3HfAs at its relaxed geometry, from the Alexandria database.

Unit cell a=5.4700 b=5.4700 c=5.4700 alpha=90.00 beta=90.00 gamma=90.00
Space group Pm-3m (No. 221)
Asymmetric unit:
La1 0.0000 0.0000 0.5000 [3 per cell]
Hf1 0.0000 0.0000 0.0000 [1 per cell]
As1 0.5000 0.5000 0.5000 [1 per cell]

Properties
Total moment ... 0.000 μB/atom
Calculated formation energy ... 0.4126 eV per atom
Theoretical density ... 6.80 g cm⁻³

The following is a PBEsol calculation of crystalline AlCdBr2 at its relaxed geometry, from the Alexandria database.

Unit cell a=12.0492 b=3.7174 c=5.5151 alpha=90.00 beta=114.93 gamma=90.00
Space group Cm (No. 8)
Asymmetric unit:
Al1 0.0000 0.0000 0.0000 [2 per cell]
Cd1 0.4561 0.0000 0.3049 [2 per cell]
Br1 0.1255 0.5000 0.8727 [2 per cell]
Br2 0.3360 0.5000 0.5533 [2 per cell]

Properties
Total moment ... 0.000 μB/atom
Energy above the most stable polymorph in this dataset ... 0 meV/atom
Energy relative to the elements, uncorrected ... -171 kJ/mol of formula units
Theoretical density ... 4.44 g cm⁻³

The following is a PBEsol calculation of crystalline Tl2FeAs at its relaxed geometry, from the Alexandria database.

Unit cell a=3.3067 b=3.3067 c=26.3675 alpha=90.00 beta=90.00 gamma=120.00
Space group R3m (No. 160, hexagonal axes)
Asymmetric unit:
Tl1 0.0000 0.0000 0.0000 [3 per cell]
Tl2 0.0000 0.0000 0.2280 [3 per cell]
Fe1 0.0000 0.0000 0.4842 [3 per cell]
As1 0.0000 0.0000 0.7675 [3 per cell]

Properties
Total moment ... 0.369 μB/atom
Energy above the most stable polymorph in this dataset ... 51 meV/atom
Calculated formation energy ... 0.1952 eV per atom
Theoretical density ... 10.76 g cm⁻³